Below is an optimized crystal structure of NbCoCuSi, with properties calculated at the PBE level.

Unit cell a=5.9478 b=5.9478 c=5.9478 alpha=90.00 beta=90.00 gamma=90.00
With the nearest neighbours (Å) after each atom.
Space group F-43m (No. 216)
Unique sites:
Nb: 0.0000 0.0000 0.0000 [4 per cell]  4 Co 2.58, 4 Si 2.58
Co: 0.2500 0.2500 0.7500 [4 per cell]  4 Nb 2.58, 4 Cu 2.58
Cu: 0.0000 0.0000 0.5000 [4 per cell]  4 Co 2.58, 4 Si 2.58
Si: 0.2500 0.2500 0.2500 [4 per cell]  4 Nb 2.58, 4 Cu 2.58

Properties
Mass density ... 7.7 g cm⁻³
E_tot ... -107.27 eV for the cell shown